Below is an optimized crystal structure of PrTlPb2S4, with properties calculated at the PBE-GGA level.

Computed properties:
Space-group type: P2/m (10)
Energy relative to the elements, uncorrected: -0.93 eV/atom

a = 4.2495 Å, b = 7.3074 Å, c = 7.4506 Å
α = 71.38°, β = 90.00°, γ = 90.00°
Last column: nearest neighbours and their distance in Å.
Fractional coordinates of all 8 atoms:
Pr (0.0000, 0.5000, 0.5000)  6 S 2.88-2.94
Tl (0.5000, 0.5000, 0.0000)  6 S 3.06-3.11
Pb (0.0000, 0.0000, 0.0000)  6 S 3.11-3.12
Pb (0.5000, 0.0000, 0.5000)  6 S 2.93-2.95
S (0.0000, 0.7532, 0.7273)  1 Pr 2.88, 3 Pb 2.95-3.12, 2 Tl 3.11
S (0.0000, 0.2468, 0.2727)  1 Pr 2.88, 3 Pb 2.95-3.12, 2 Tl 3.11
S (0.5000, 0.7412, 0.2693)  3 Pb 2.93-3.11, 2 Pr 2.94, 1 Tl 3.06
S (0.5000, 0.2588, 0.7307)  3 Pb 2.93-3.11, 2 Pr 2.94, 1 Tl 3.06

Below is an optimized crystal structure of Sm3CuHg2, with properties calculated at the PBE-GGA level.

Computed properties:
Space-group type: P4/mmm (123)
Fermi-level density of states: 5.33 states/eV/f.u.
Energy of formation: -0.365 eV/atom
ΔE to the lowest computed polymorph: 0.0 kJ/mol of formula units

a = 3.6682 Å, b = 3.6682 Å, c = 11.4427 Å
α = 90.00°, β = 90.00°, γ = 90.00°
Last column: nearest neighbours and their distance in Å.
Fractional coordinates of all 6 atoms:
Sm (0.0000, 0.0000, 0.0000)  8 Hg 3.28, 4 Sm 3.67
Sm (0.0000, 0.0000, 0.6477)  4 Cu 3.10, 4 Hg 3.29, 1 Sm 3.38
Sm (0.0000, 0.0000, 0.3523)  4 Cu 3.10, 4 Hg 3.29, 1 Sm 3.38
Cu (0.5000, 0.5000, 0.5000)  8 Sm 3.10
Hg (0.5000, 0.5000, 0.8250)  8 Sm 3.28-3.29, 4 Hg 3.67
Hg (0.5000, 0.5000, 0.1750)  8 Sm 3.28-3.29, 4 Hg 3.67

Below is an optimized crystal structure of CaGaHg4, with properties calculated at the PBE-GGA level.

Computed properties:
Space-group type: F-43m (216)
Fermi-level density of states: 1.38 states/eV/f.u.
Energy of formation: -0.101 eV/atom
ΔE to the lowest computed polymorph: 60.4 kJ/mol of formula units

a = 6.0446 Å, b = 6.0446 Å, c = 6.0446 Å
α = 60.00°, β = 60.00°, γ = 60.00°
Last column: nearest neighbours and their distance in Å.
Fractional coordinates of all 6 atoms:
Ca (0.2500, 0.2500, 0.2500)  12 Hg 3.54, 4 Ga 3.70
Hg (0.6251, 0.6251, 0.1246)  6 Hg 3.02-3.03
Hg (0.6251, 0.1246, 0.6251)  6 Hg 3.02-3.03
Hg (0.6251, 0.6251, 0.6251)  6 Hg 3.02-3.03
Hg (0.1246, 0.6251, 0.6251)  6 Hg 3.02-3.03
Ga (0.0000, 0.0000, 0.0000)  12 Hg 3.54, 4 Ca 3.70

Below is an optimized crystal structure of CaLa4Sm8, with properties calculated at the PBE-GGA level.

Computed properties:
Space-group type: I4/m (87)
Fermi-level density of states: 20.08 states/eV/f.u.
Energy of formation: 0.034 eV/atom

a = 5.2313 Å, b = 9.7389 Å, c = 9.7348 Å
α = 85.83°, β = 74.41°, γ = 74.42°
Last column: nearest neighbours and their distance in Å.
Fractional coordinates of all 13 atoms:
Ca (0.0000, 0.0000, 0.0000)  4 La 3.73, 8 Sm 3.74-3.75
La (0.2333, 0.9230, 0.6103)  9 Sm 3.59-3.72, 2 La 3.63, 1 Ca 3.73
La (0.7667, 0.0770, 0.3897)  9 Sm 3.59-3.72, 2 La 3.63, 1 Ca 3.73
La (0.8435, 0.3897, 0.9233)  9 Sm 3.59-3.72, 2 La 3.63, 1 Ca 3.73
La (0.1565, 0.6103, 0.0767)  9 Sm 3.59-3.72, 2 La 3.63, 1 Ca 3.73
Sm (0.3016, 0.2368, 0.1599)  5 La 3.59-3.72, 5 Sm 3.60-3.79, 2 Ca 3.75
Sm (0.6984, 0.7632, 0.8401)  5 La 3.59-3.72, 5 Sm 3.60-3.79, 2 Ca 3.75
Sm (0.4616, 0.8403, 0.2366)  5 La 3.59-3.72, 5 Sm 3.60-3.79, 2 Ca 3.74
Sm (0.5384, 0.1597, 0.7634)  5 La 3.59-3.72, 5 Sm 3.60-3.79, 2 Ca 3.74
Sm (0.0771, 0.3091, 0.5367)  8 Sm 3.60-3.67, 4 La 3.67-3.70
Sm (0.9229, 0.6909, 0.4633)  8 Sm 3.60-3.67, 4 La 3.67-3.70
Sm (0.6136, 0.4635, 0.3093)  8 Sm 3.60-3.67, 4 La 3.67-3.70
Sm (0.3864, 0.5365, 0.6907)  8 Sm 3.60-3.67, 4 La 3.67-3.70

Below is an optimized crystal structure of Li2LaTm2Pb2, with properties calculated at the PBE-GGA level.

Computed properties:
Space-group type: R-3m (166)
Fermi-level density of states: 4.17 states/eV/f.u.
Energy of formation: -0.337 eV/atom

a = 4.8926 Å, b = 4.8926 Å, c = 9.4267 Å
α = 74.96°, β = 74.96°, γ = 60.00°
Last column: nearest neighbours and their distance in Å.
Fractional coordinates of all 7 atoms:
Li (0.5793, 0.5793, 0.2621)  3 Pb 2.85, 3 Tm 3.07
Li (0.4207, 0.4207, 0.7379)  3 Pb 2.85, 3 Tm 3.07
La (0.0000, 0.0000, 0.0000)  6 Pb 3.47, 2 Tm 3.56, 6 Li 3.68
Tm (0.1320, 0.1320, 0.6041)  3 Li 3.07, 4 Pb 3.22-3.42, 3 Tm 3.39
Tm (0.8680, 0.8680, 0.3959)  3 Li 3.07, 4 Pb 3.22-3.42, 3 Tm 3.39
Pb (0.7415, 0.7415, 0.7756)  3 Li 2.85
Pb (0.2585, 0.2585, 0.2244)  3 Li 2.85

Below is an optimized crystal structure of AsPd, with properties calculated at the PBE-GGA level.

Computed properties:
Space-group type: Pmmm (47)
Fermi-level density of states: 0.56 states/eV/f.u.
Energy of formation: -0.139 eV/atom

a = 3.0864 Å, b = 4.1544 Å, c = 2.7489 Å
α = 89.99°, β = 90.00°, γ = 90.00°
Last column: nearest neighbours and their distance in Å.
Fractional coordinates of all 2 atoms:
As (0.8675, 0.6820, 0.7060)  4 Pd 2.59, 2 As 2.75
Pd (0.3674, 0.1820, 0.7058)  4 As 2.59, 2 Pd 2.75

Repeat the second record exactly.
Below is an optimized crystal structure of Sm3CuHg2, with properties calculated at the PBE-GGA level.

Computed properties:
Space-group type: P4/mmm (123)
Fermi-level density of states: 5.33 states/eV/f.u.
Energy of formation: -0.365 eV/atom
ΔE to the lowest computed polymorph: 0.0 kJ/mol of formula units

a = 3.6682 Å, b = 3.6682 Å, c = 11.4427 Å
α = 90.00°, β = 90.00°, γ = 90.00°
Last column: nearest neighbours and their distance in Å.
Fractional coordinates of all 6 atoms:
Sm (0.0000, 0.0000, 0.0000)  8 Hg 3.28, 4 Sm 3.67
Sm (0.0000, 0.0000, 0.6477)  4 Cu 3.10, 4 Hg 3.29, 1 Sm 3.38
Sm (0.0000, 0.0000, 0.3523)  4 Cu 3.10, 4 Hg 3.29, 1 Sm 3.38
Cu (0.5000, 0.5000, 0.5000)  8 Sm 3.10
Hg (0.5000, 0.5000, 0.8250)  8 Sm 3.28-3.29, 4 Hg 3.67
Hg (0.5000, 0.5000, 0.1750)  8 Sm 3.28-3.29, 4 Hg 3.67